Below is BeFe2Pb at its PBEsol-relaxed geometry, with properties calculated at the SCAN level.

Lattice parameters (Å, degrees): 2.8941 3.7123 5.3442 90.00 100.54 90.00
Each line ends with the local moment (μB).
Sites, in units of the cell vectors:
Pb 0.5000 0.5000 0.0000  -0.05
Be 0.5000 0.5000 0.5000  -0.13
Fe 0.8432 0.0000 0.6777  2.62
Fe 0.1568 0.0000 0.3223  2.62

Summary:
* ΔH_f (0 K): 1.8 eV per formula unit
* energy relative to the lowest polymorph listed for this composition: 52 meV/atom
* N(E_F): 2.3 states/eV/cell
* total DFT energy (no corrections): -28.65 eV/atom
* symmetry: P2/m


Below is BeFePb2 at its PBEsol-relaxed geometry, with properties calculated at the SCAN level.

Lattice parameters (Å, degrees): 3.4811 3.4811 6.2133 90.00 90.00 90.00
Each line ends with the local moment (μB).
Sites, in units of the cell vectors:
Pb 0.0000 0.0000 0.7488  -0.03
Pb 0.0000 0.0000 0.2512  -0.03
Be 0.5000 0.5000 0.0000  0.00
Fe 0.5000 0.5000 0.5000  2.92

Summary:
* ΔH_f (0 K): 2.8 eV per formula unit
* N(E_F): 1.4 states/eV/cell
* total DFT energy (no corrections): -42.82 eV/atom
* symmetry: P4/mmm


Below is BeFe2Pb at its PBEsol-relaxed geometry, with properties calculated at the SCAN level.

Lattice parameters (Å, degrees): 3.6840 3.6840 3.9214 90.00 90.00 90.00
Each line ends with the local moment (μB).
Sites, in units of the cell vectors:
Pb 0.5000 0.5000 0.5000  -0.03
Be 0.0000 0.0000 0.5000  -0.07
Fe 0.0000 0.5000 0.0000  2.75
Fe 0.5000 0.0000 0.0000  2.75

Summary:
* ΔH_f (0 K): 1.6 eV per formula unit
* energy relative to the lowest polymorph listed for this composition: 0 meV/atom
* N(E_F): 2.7 states/eV/cell
* total DFT energy (no corrections): -28.71 eV/atom
* symmetry: P4/mmm


Below is Be2FePb at its PBEsol-relaxed geometry, with properties calculated at the SCAN level.

Lattice parameters (Å, degrees): 3.6333 3.6365 4.5824 113.38 113.36 90.00
Each line ends with the local moment (μB).
Sites, in units of the cell vectors:
Pb 0.0000 0.5000 0.0000  -0.01
Be 0.7501 0.7501 0.5002  -0.01
Be 0.2499 0.2499 0.4998  -0.01
Fe 0.5000 0.0000 0.0000  0.14

Summary:
* ΔH_f (0 K): 2.3 eV per formula unit
* N(E_F): 0.7 states/eV/cell
* total DFT energy (no corrections): -25.07 eV/atom
* symmetry: I4/mmm